# Pr2Se

A geometry-optimized Pr2Se structure (PBE, OQMD via LeMat-Bulk).

Cell: 4.3774 4.3774 8.7803 Å, 90.00 90.00 90.00°
Fractional coordinates of all 6 atoms:
Pr (0.5000, 0.5000, 0.0000)
Pr (0.0000, 0.5000, 0.6331)
Pr (0.5000, 0.0000, 0.3669)
Pr (0.0000, 0.0000, 0.0000)
Se (0.0000, 0.5000, 0.2775)
Se (0.5000, 0.0000, 0.7225)

Results
For the uncorrected energy, the calculation gives -0.39256 Ry per atom. The calculated volume comes out at 84 Å³/f.u. The value obtained for the total magnetic moment is 0.0 μB/f.u. Its symmetry is P4/nmm.

# Dy2Ho2CIBr2Cl2

A geometry-optimized Dy2Ho2CIBr2Cl2 structure (PBE, OQMD via LeMat-Bulk).

Cell: 8.9872 8.9872 8.4561 Å, 103.07 103.07 24.57°
Fractional coordinates of all 10 atoms:
Ho (0.6390, 0.6390, 0.0724)
Br (0.8287, 0.8287, 0.1586)
Dy (0.9998, 0.9998, 0.8078)
I (0.5000, 0.5000, 0.5000)
Br (0.1713, 0.1713, 0.8414)
Cl (0.8391, 0.8391, 0.6955)
C (0.5000, 0.5000, 0.0000)
Cl (0.1609, 0.1609, 0.3045)
Ho (0.3610, 0.3610, 0.9276)
Dy (0.0002, 0.0002, 0.1922)

Results
The calculated volume comes out at 276 Å³/f.u. The value obtained for the total magnetic moment is 0.1 μB/f.u. The calculation puts the energy above the most stable polymorph in this dataset at 0 meV/atom. Its symmetry is C2/m.

# Sm2Ge5Os3

A geometry-optimized Sm2Ge5Os3 structure (PBE, OQMD via LeMat-Bulk).

Cell: 8.5145 8.5145 8.5145 Å, 108.25 85.82 139.43°
Fractional coordinates of all 20 atoms:
Sm (0.6387, 0.7690, 0.4077)
Ge (0.4116, 0.6724, 0.0840)
Ge (0.0884, 0.1724, 0.2609)
Os (0.7500, 0.7500, 0.0000)
Sm (0.8613, 0.2690, 0.1303)
Os (0.3527, 0.9038, 0.2564)
Os (0.6473, 0.0962, 0.7436)
Sm (0.1387, 0.7310, 0.8697)
Ge (0.9116, 0.8276, 0.7391)
Os (0.8527, 0.5962, 0.4489)
Ge (0.5884, 0.3276, 0.9160)
Os (0.2500, 0.2500, 0.0000)
Os (0.1473, 0.4038, 0.5511)
Ge (0.5404, 0.7500, 0.7904)
Ge (0.4596, 0.2500, 0.2096)
Ge (0.0404, 0.2500, 0.7904)
Ge (0.7500, 0.2500, 0.5000)
Ge (0.9596, 0.7500, 0.2096)
Sm (0.3613, 0.2310, 0.5923)
Ge (0.2500, 0.7500, 0.5000)

Results
For the uncorrected energy, the calculation gives -0.52037 Ry per atom. The calculated volume comes out at 184 Å³/f.u. The value obtained for the total magnetic moment is 0.0 μB/f.u. Its symmetry is Ibam.

# GdDyZn2Au4

A geometry-optimized GdDyZn2Au4 structure (PBE, OQMD via LeMat-Bulk).

Cell: 4.8522 4.8522 6.8401 Å, 90.00 90.00 90.00°
Fractional coordinates of all 8 atoms:
Zn (0.5000, 0.5000, 0.0000)
Au (0.5000, 0.0000, 0.2467)
Au (0.0000, 0.5000, 0.2467)
Zn (0.0000, 0.0000, 0.5000)
Au (0.5000, 0.0000, 0.7533)
Au (0.0000, 0.5000, 0.7533)
Gd (0.5000, 0.5000, 0.5000)
Dy (0.0000, 0.0000, 0.0000)

Results
The calculated volume comes out at 161 Å³/f.u. The value obtained for the formation energy from the elements is -634 meV per atom. The value obtained for the total magnetic moment is 0.0 μB/f.u. Its symmetry is P4/mmm.

# BaDyZr

A geometry-optimized BaDyZr structure (PBE, OQMD via LeMat-Bulk).

Cell: 5.3249 5.3249 5.3249 Å, 60.00 60.00 60.00°
Fractional coordinates of all 3 atoms:
Dy (0.2500, 0.2500, 0.2500)
Ba (0.0000, 0.0000, 0.0000)
Zr (0.7500, 0.7500, 0.7500)

Results
The calculated volume comes out at 107 Å³/f.u. The value obtained for the total magnetic moment is 1.2 μB/f.u. The calculation puts the energy above the most stable polymorph in this dataset at 300 meV/atom. Its symmetry is F-43m.

# AcTh

A geometry-optimized AcTh structure (PBE, OQMD via LeMat-Bulk).

Cell: 4.8769 4.8769 4.8769 Å, 60.00 60.00 60.00°
Fractional coordinates of all 2 atoms:
Th (0.5000, 0.5000, 0.5000)
Ac (0.0000, 0.0000, 0.0000)

Results
The calculated volume comes out at 82 Å³/f.u. The value obtained for the formation energy from the elements is 986 meV per atom. The value obtained for the total magnetic moment is 0.1 μB/f.u. The calculation puts the energy above the most stable polymorph in this dataset at 817 meV/atom. Its symmetry is Fm-3m.

# K2Pd2S3

A geometry-optimized K2Pd2S3 structure (PBE, OQMD via LeMat-Bulk).

Cell: 7.6614 7.6614 7.6614 Å, 109.47 109.47 109.47°
Fractional coordinates of all 14 atoms:
Pd (0.0000, 0.7191, 0.5000)
Pd (0.5000, 0.0000, 0.7191)
K (0.1990, 0.1990, 0.1990)
S (0.6651, 0.4151, 0.2500)
S (0.8349, 0.0849, 0.7500)
Pd (0.7809, 0.7809, 0.7809)
S (0.0849, 0.7500, 0.8349)
K (0.5000, 0.0000, 0.3010)
K (0.0000, 0.3010, 0.5000)
S (0.2500, 0.6651, 0.4151)
S (0.7500, 0.8349, 0.0849)
S (0.4151, 0.2500, 0.6651)
Pd (0.7191, 0.5000, 0.0000)
K (0.3010, 0.5000, 0.0000)

Results
The calculated volume comes out at 173 Å³/f.u. The calculation puts the energy above the most stable polymorph in this dataset at 0 meV/atom. Its symmetry is I2_13.

# LuBeNO

A geometry-optimized LuBeNO structure (PBE, OQMD via LeMat-Bulk).

Cell: 5.4977 6.0761 4.8696 Å, 90.00 90.00 90.00°
Fractional coordinates of all 16 atoms:
N (0.8482, 0.9730, 0.1896)
Be (0.5845, 0.8876, 0.0102)
Be (0.0845, 0.1124, 0.0102)
Be (0.9155, 0.8876, 0.5102)
O (0.0423, 0.6303, 0.5105)
N (0.3482, 0.0270, 0.1896)
O (0.4577, 0.6303, 0.0105)
O (0.9577, 0.3697, 0.0105)
N (0.1518, 0.0270, 0.6896)
Be (0.4155, 0.1124, 0.5102)
Lu (0.5666, 0.2822, 0.9922)
O (0.5423, 0.3697, 0.5105)
Lu (0.9334, 0.2822, 0.4922)
Lu (0.4334, 0.7178, 0.4922)
N (0.6518, 0.9730, 0.6896)
Lu (0.0666, 0.7178, 0.9922)

Results
The calculated volume comes out at 41 Å³/f.u. The value obtained for the total magnetic moment is 0.0 μB/f.u. The calculation puts the energy above the most stable polymorph in this dataset at 89 meV/atom. Its symmetry is Pca2_1.

# Li4CdPb2Au

A geometry-optimized Li4CdPb2Au structure (PBE, OQMD via LeMat-Bulk).

Cell: 4.7918 4.7918 6.7899 Å, 90.00 90.00 90.00°
Fractional coordinates of all 8 atoms:
Li (0.0000, 0.0000, 0.5000)
Li (0.5000, 0.0000, 0.2316)
Li (0.5000, 0.5000, 0.0000)
Au (0.0000, 0.0000, 0.0000)
Pb (0.5000, 0.0000, 0.7575)
Pb (0.0000, 0.5000, 0.2425)
Li (0.0000, 0.5000, 0.7684)
Cd (0.5000, 0.5000, 0.5000)

Results
For the uncorrected energy, the calculation gives -0.20095 Ry per atom. The calculated volume comes out at 156 Å³/f.u. Its symmetry is P-4m2.

# TmZnFe

A geometry-optimized TmZnFe structure (PBE, OQMD via LeMat-Bulk).

Cell: 4.3641 4.3641 4.3641 Å, 60.00 60.00 60.00°
Site moments in Bohr magnetons follow the coordinates.
Fractional coordinates of all 3 atoms:
Fe (0.0000, 0.0000, 0.0000)  1.69
Zn (0.7500, 0.7500, 0.7500)  -0.05
Tm (0.2500, 0.2500, 0.2500)  -0.15

Results
The calculated volume comes out at 59 Å³/f.u. The value obtained for the formation energy from the elements is 267 meV per atom. The value obtained for the total magnetic moment is 1.4 μB/f.u. Its symmetry is F-43m.

# LaPrSi4Ni2

A geometry-optimized LaPrSi4Ni2 structure (PBE, OQMD via LeMat-Bulk).

Cell: 4.0893 8.5320 8.5320 Å, 28.43 90.00 90.00°
Fractional coordinates of all 8 atoms:
La (0.0000, 0.6067, 0.6067)
Si (0.0000, 0.9589, 0.9589)
Pr (0.5000, 0.3931, 0.3931)
Ni (0.0000, 0.8186, 0.8186)
Si (0.0000, 0.2508, 0.2508)
Ni (0.5000, 0.1819, 0.1819)
Si (0.5000, 0.7503, 0.7503)
Si (0.5000, 0.0397, 0.0397)

Results
For the uncorrected energy, the calculation gives -0.45062 Ry per atom. The calculated volume comes out at 142 Å³/f.u. The value obtained for the total magnetic moment is 0.0 μB/f.u. Its symmetry is Amm2.

# MgHgSeO

A geometry-optimized MgHgSeO structure (PBE, OQMD via LeMat-Bulk).

Cell: 6.0735 7.5438 7.7712 Å, 90.00 90.00 90.00°
Fractional coordinates of all 16 atoms:
Mg (0.8259, 0.7068, 0.4155)
Hg (0.6035, 0.1958, 0.3542)
O (0.5128, 0.7102, 0.4050)
Mg (0.6741, 0.2932, 0.9155)
Se (0.9960, 0.3919, 0.3421)
Se (0.5040, 0.6081, 0.8421)
Hg (0.3965, 0.6958, 0.1458)
Hg (0.1035, 0.3042, 0.6458)
O (0.4872, 0.2102, 0.0950)
O (0.9872, 0.2898, 0.9050)
O (0.0128, 0.7898, 0.5950)
Mg (0.1741, 0.2068, 0.0845)
Se (0.4960, 0.1081, 0.6579)
Hg (0.8965, 0.8042, 0.8542)
Se (0.0040, 0.8919, 0.1579)
Mg (0.3259, 0.7932, 0.5845)

Results
The calculated volume comes out at 89 Å³/f.u. The calculation puts the energy above the most stable polymorph in this dataset at 112 meV/atom. Its symmetry is P2_12_12_1.

# Ac2PrSbO6

A geometry-optimized Ac2PrSbO6 structure (PBE, OQMD via LeMat-Bulk).

Cell: 6.2017 6.2017 6.1989 Å, 119.07 119.07 59.31°
Fractional coordinates of all 10 atoms:
Sb (0.5000, 0.5000, 0.5000)
Pr (0.0000, 0.0000, 0.0000)
O (0.6638, 0.1694, 0.6626)
O (0.1694, 0.6638, 0.6626)
O (0.7460, 0.7460, 0.8834)
Ac (0.2485, 0.2485, 0.7187)
Ac (0.7515, 0.7515, 0.2813)
O (0.2540, 0.2540, 0.1166)
O (0.8306, 0.3362, 0.3374)
O (0.3362, 0.8306, 0.3374)

Results
For the uncorrected energy, the calculation gives -0.54134 Ry per atom. The calculated volume comes out at 170 Å³/f.u. The value obtained for the total magnetic moment is 0.0 μB/f.u. Its symmetry is C2/m.

# YHoCd2Au4

A geometry-optimized YHoCd2Au4 structure (PBE, OQMD via LeMat-Bulk).

Cell: 4.9283 4.9283 6.9704 Å, 90.00 90.00 90.00°
Fractional coordinates of all 8 atoms:
Au (0.5000, 0.0000, 0.7504)
Cd (0.0000, 0.0000, 0.5000)
Cd (0.5000, 0.5000, 0.0000)
Au (0.5000, 0.0000, 0.2496)
Au (0.0000, 0.5000, 0.2496)
Y (0.5000, 0.5000, 0.5000)
Au (0.0000, 0.5000, 0.7504)
Ho (0.0000, 0.0000, 0.0000)

Results
The calculated volume comes out at 169 Å³/f.u. The value obtained for the formation energy from the elements is -680 meV per atom. The value obtained for the total magnetic moment is 0.0 μB/f.u. Its symmetry is P4/mmm.

# NdHoSi2

A geometry-optimized NdHoSi2 structure (PBE, OQMD via LeMat-Bulk).

Cell: 3.8808 8.0624 5.7905 Å, 90.00 90.00 90.00°
Fractional coordinates of all 8 atoms:
Si (0.0000, 0.2226, 0.1271)
Si (0.5000, 0.2960, 0.8746)
Ho (0.5000, 0.4308, 0.3849)
Ho (0.0000, 0.5692, 0.8849)
Nd (0.0000, 0.0719, 0.6134)
Si (0.0000, 0.7040, 0.3746)
Si (0.5000, 0.7774, 0.6271)
Nd (0.5000, 0.9281, 0.1134)

Results
The calculated volume comes out at 91 Å³/f.u. The value obtained for the total magnetic moment is 0.0 μB/f.u. The calculation puts the energy above the most stable polymorph in this dataset at 0 meV/atom. Its symmetry is Pmn2_1.

# LaHfSc

A geometry-optimized LaHfSc structure (PBE, OQMD via LeMat-Bulk).

Cell: 5.0596 5.0596 5.0596 Å, 60.00 60.00 60.00°
Fractional coordinates of all 3 atoms:
Hf (0.0000, 0.0000, 0.0000)
Sc (0.7500, 0.7500, 0.7500)
La (0.2500, 0.2500, 0.2500)

Results
The calculated volume comes out at 92 Å³/f.u. The value obtained for the formation energy from the elements is 828 meV per atom. The value obtained for the total magnetic moment is 2.0 μB/f.u. The calculation puts the energy above the most stable polymorph in this dataset at 0 meV/atom. Its symmetry is F-43m.

# ScW5

A geometry-optimized ScW5 structure (PBE, OQMD via LeMat-Bulk).

Cell: 4.8508 4.8508 4.9980 Å, 90.00 90.00 120.00°
Fractional coordinates of all 6 atoms:
W (0.6667, 0.3333, 0.5000)
W (0.6617, 0.0000, 0.0000)
W (0.0000, 0.6617, 0.0000)
Sc (0.0000, 0.0000, 0.5000)
W (0.3383, 0.3383, 0.0000)
W (0.3333, 0.6667, 0.5000)

Results
The calculated volume comes out at 102 Å³/f.u. The value obtained for the formation energy from the elements is 549 meV per atom. The value obtained for the total magnetic moment is 0.0 μB/f.u. Its symmetry is P-62m.

# Hf4CuSnN2

A geometry-optimized Hf4CuSnN2 structure (PBE, OQMD via LeMat-Bulk).

Cell: 3.2339 3.2339 13.9654 Å, 90.00 90.00 120.00°
Fractional coordinates of all 8 atoms:
Cu (0.3333, 0.6667, 0.5000)
N (0.0000, 0.0000, 0.2633)
Hf (0.3333, 0.6667, 0.8286)
N (0.0000, 0.0000, 0.7367)
Hf (0.6667, 0.3333, 0.3523)
Sn (0.6667, 0.3333, 0.0000)
Hf (0.6667, 0.3333, 0.6477)
Hf (0.3333, 0.6667, 0.1714)

Results
For the uncorrected energy, the calculation gives -0.66008 Ry per atom. The calculated volume comes out at 126 Å³/f.u. The value obtained for the total magnetic moment is 0.0 μB/f.u. Its symmetry is P-6m2.

# Li4ZrTeO6

A geometry-optimized Li4ZrTeO6 structure (PBE, OQMD via LeMat-Bulk).

Cell: 5.4646 5.4646 5.2262 Å, 99.94 99.94 120.24°
Fractional coordinates of all 12 atoms:
O (0.4293, 0.0826, 0.7595)
Zr (0.8357, 0.1643, 0.0000)
O (0.9174, 0.5707, 0.2405)
Li (0.5028, 0.4972, 0.0000)
O (0.2322, 0.2466, 0.2511)
O (0.0821, 0.4212, 0.7660)
Te (0.1718, 0.8282, 0.0000)
Li (0.6434, 0.3566, 0.5000)
O (0.7534, 0.7678, 0.7489)
Li (0.0067, 0.9933, 0.5000)
Li (0.3464, 0.6536, 0.5000)
O (0.5788, 0.9179, 0.2340)

Results
For the uncorrected energy, the calculation gives -0.45006 Ry per atom. The calculated volume comes out at 126 Å³/f.u. The value obtained for the total magnetic moment is 0.0 μB/f.u. Its symmetry is C2.

# HfScNi

A geometry-optimized HfScNi structure (PBE, OQMD via LeMat-Bulk).

Cell: 4.3641 4.3641 4.3641 Å, 60.00 60.00 60.00°
Fractional coordinates of all 3 atoms:
Hf (0.2500, 0.2500, 0.2500)
Ni (0.7500, 0.7500, 0.7500)
Sc (0.0000, 0.0000, 0.0000)

Results
The calculated volume comes out at 59 Å³/f.u. The value obtained for the formation energy from the elements is 802 meV per atom. The value obtained for the total magnetic moment is 0.0 μB/f.u. Its symmetry is F-43m.